This record from Alexandria via LeMat-Bulk describes a geometry-optimized BeHg2Sb structure. The functional is PBE.

Lattice parameters (Å, degrees): 8.9454 8.9454 8.9454 22.17 22.17 22.17
Fractional positions:
Sb: 0.4800 0.4800 0.4800
Hg: 0.0186 0.0186 0.0186
Hg: 0.2546 0.2546 0.2546
Be: 0.7467 0.7467 0.7467

Summary:
Uncorrected formation energy   281 meV per atom
SG   R3m, No. 160
Offset from the most stable computed form   113 meV per atom

This record from Alexandria via LeMat-Bulk describes a geometry-optimized Ba3SrSb structure. The functional is PBE.

Lattice parameters (Å, degrees): 6.4864 6.4864 6.4864 90.00 90.00 90.00
Fractional positions:
Sb: 0.5000 0.5000 0.5000
Ba: 0.0000 0.5000 0.0000
Ba: 0.0000 0.0000 0.5000
Ba: 0.5000 0.0000 0.0000
Sr: 0.0000 0.0000 0.0000

Summary:
Uncorrected formation energy   561 meV per atom
SG   Pm-3m, No. 221
Offset from the most stable computed form   935 meV per atom

This record from Alexandria via LeMat-Bulk describes a geometry-optimized Re5Ni2As12 structure. The functional is PBE.

Lattice parameters (Å, degrees): 3.2477 12.6499 15.7471 90.00 90.00 90.00
Fractional positions:
Re: 0.0000 0.1840 0.6012
Re: 0.0000 0.8160 0.3988
Re: 0.5000 0.6840 0.8988
Re: 0.5000 0.3160 0.1012
Re: 0.0000 0.5793 0.7621
Re: 0.0000 0.4207 0.2379
Re: 0.5000 0.0793 0.7379
Re: 0.5000 0.9207 0.2621
Re: 0.0000 0.0000 0.0000
Re: 0.5000 0.5000 0.5000
Ni: 0.0000 0.3715 0.8471
Ni: 0.0000 0.6285 0.1529
Ni: 0.5000 0.8715 0.6529
Ni: 0.5000 0.1285 0.3471
As: 0.0000 0.5929 0.5983
As: 0.0000 0.4071 0.4017
As: 0.5000 0.0929 0.9017
As: 0.5000 0.9071 0.0983
As: 0.0000 0.9307 0.7622
As: 0.0000 0.0693 0.2378
As: 0.5000 0.4307 0.7378
As: 0.5000 0.5693 0.2622
As: 0.0000 0.7740 0.2436
As: 0.0000 0.2260 0.7564
As: 0.5000 0.2740 0.2564
As: 0.5000 0.7260 0.7436
As: 0.0000 0.8414 0.9089
As: 0.0000 0.1586 0.0911
As: 0.5000 0.3414 0.5911
As: 0.5000 0.6586 0.4089
As: 0.0000 0.5347 0.9222
As: 0.0000 0.4653 0.0778
As: 0.5000 0.0347 0.5778
As: 0.5000 0.9653 0.4222
As: 0.0000 0.7925 0.5593
As: 0.0000 0.2075 0.4407
As: 0.5000 0.2925 0.9407
As: 0.5000 0.7075 0.0593

Summary:
Energy of formation from the pure elements   -0.135 eV/atom
SG   Pnnm, No. 58

This record from Alexandria via LeMat-Bulk describes a geometry-optimized PmPu2Te structure. The functional is PBE.

Lattice parameters (Å, degrees): 5.1402 4.5786 4.5786 90.00 90.00 90.00
Each line ends with the local moment (μB).
Fractional positions:
Pm: 0.5000 0.5000 0.5000  0.07
Te: 0.5000 0.0000 0.0000  -0.05
Pu: 0.0000 0.0000 0.5000  5.62
Pu: 0.0000 0.5000 0.0000  5.62

Summary:
Uncorrected formation energy   -404 meV per atom
SG   P4/mmm, No. 123

This record from Alexandria via LeMat-Bulk describes a geometry-optimized CoP2Se structure. The functional is PBE.

Lattice parameters (Å, degrees): 6.3974 6.3974 6.3974 30.52 30.52 30.52
Fractional positions:
Co: 0.7500 0.7500 0.7500
P: 0.0163 0.0163 0.0163
P: 0.4837 0.4837 0.4837
Se: 0.2500 0.2500 0.2500

Summary:
Uncorrected formation energy   106 meV per atom
SG   R-3m, No. 166

This record from Alexandria via LeMat-Bulk describes a geometry-optimized CrCdPb2 structure. The functional is PBE.

Lattice parameters (Å, degrees): 5.8534 5.8534 5.8534 134.51 134.51 66.29
Each line ends with the local moment (μB).
Fractional positions:
Cd: 0.5000 0.5000 0.0000  -0.02
Cr: 0.7500 0.2500 0.5000  3.87
Pb: 0.0000 0.0000 0.0000  -0.03
Pb: 0.2500 0.7500 0.5000  -0.04

Summary:
Energy of formation from the pure elements   0.381 eV/atom
SG   I-4m2, No. 119

This record from Alexandria via LeMat-Bulk describes a geometry-optimized Hf2Bi2C structure. The functional is PBE.

Lattice parameters (Å, degrees): 3.3813 3.3815 12.0591 82.90 81.94 60.00
Fractional positions:
Hf: 0.7042 0.1924 0.3991
Hf: 0.2958 0.8076 0.6009
Bi: 0.4514 0.9144 0.1829
Bi: 0.5486 0.0856 0.8171
C: 0.0000 0.5000 0.5000

Summary:
Energy of formation from the pure elements   -0.561 eV/atom
SG   C2/m, No. 12

This record from Alexandria via LeMat-Bulk describes a geometry-optimized Cs3Ce2SnSe6 structure. The functional is PBE.

Lattice parameters (Å, degrees): 7.6733 7.6733 8.6681 98.46 98.46 119.96
Each line ends with the local moment (μB).
Fractional positions:
Cs: 0.1612 0.8388 0.5000  0.00
Cs: 0.8388 0.1612 0.5000  0.00
Cs: 0.5000 0.5000 0.5000  0.00
Ce: 0.3329 0.6671 0.0000  0.56
Ce: 0.6671 0.3329 0.0000  0.56
Sn: 0.0000 0.0000 0.0000  0.00
Se: 0.9374 0.5911 0.8124  -0.02
Se: 0.7156 0.7156 0.1852  -0.02
Se: 0.0626 0.4089 0.1876  -0.02
Se: 0.5911 0.9374 0.8124  -0.02
Se: 0.2844 0.2844 0.8148  -0.02
Se: 0.4089 0.0626 0.1876  -0.02

Summary:
Uncorrected formation energy   -1410 meV per atom
SG   C2/m, No. 12